1.
NaPmMg (PBE-GGA, optimized geometry); calculated formation energy = 0.0824 eV per atom; offset from the most stable computed form = 0 meV per atom; SG = No. 8; N(E_F) = 4.5 states/eV/cell; E_tot = -2.47 eV/atom
1.0
-0.144 2.666 2.266
-2.594 0.161 2.348
7.818 -7.166 14.516
Na Pm Mg
2 2 2
direct
0.485 0.485 0.246 Na
0.268 0.268 0.061 Na
0.698 0.698 0.428 Pm
0.055 0.055 0.879 Pm
0.258 0.258 0.584 Mg
0.495 0.495 0.723 Mg

=====

2.
Ca2TaIr (PBE-GGA, optimized geometry); calculated formation energy = 0.3921 eV per atom; offset from the most stable computed form = 483 meV per atom; SG = No. 47; N(E_F) = 3.3 states/eV/cell; E_tot = -5.79 eV/atom
1.0
3.055 0.000 0.000
0.000 4.920 0.000
0.000 0.000 5.585
Ca Ir Ta
2 1 1
direct
0.000 0.000 0.011 Ca
0.000 0.000 0.489 Ca
0.500 0.500 0.250 Ir
0.500 0.500 0.750 Ta